1.
VASP calculation (PBE) on a relaxed structure of LiIrAu2.

Output
Calculated total energy, eV per cell: -17.1
Calculated volume, A^3/atom: 15.876
ΔH_f (0 K), eV per atom: 0.052
Total magnetization, μB per cell: 0.0

Cell lengths 2.7557, 2.7557, 8.3625 Å; angles 90.00, 90.00, 90.00 degrees
With the nearest neighbours (Å) after each atom.
Space group P4mm (No. 99)
Inequivalent atoms, fractional coordinates:
Li: 0.0000 0.0000 0.0000 x1  4 Ir 2.71, 4 Li 2.76, 4 Au 2.79
Ir: 0.5000 0.5000 0.7754 x1  4 Li 2.71, 4 Ir 2.76, 4 Au 2.90
Au: 0.0000 0.0000 0.5191 x1  8 Au 2.76-3.05, 4 Ir 2.90
Au: 0.5000 0.5000 0.2386 x1  8 Au 2.76-3.05, 4 Li 2.79

=====

2.
VASP calculation (PBE) on a relaxed structure of LiIrAu2.

Output
Calculated total energy, eV per cell: -35.8
Calculated volume, A^3/atom: 15.857
ΔH_f (0 K), eV per atom: -0.146
Total magnetization, μB per cell: 0.0

Cell lengths 6.0607, 7.3995, 2.8287 Å; angles 90.00, 90.00, 90.00 degrees
With the nearest neighbours (Å) after each atom.
Space group Cmmm (No. 65)
Inequivalent atoms, fractional coordinates:
Li: 0.0000 0.0000 0.0000 x2  8 Au 2.78, 2 Li 2.83, 2 Ir 3.03
Ir: 0.0000 0.5000 0.0000 x2  8 Au 2.78, 2 Ir 2.83, 2 Li 3.03
Au: 0.2500 0.2500 0.5000 x4  4 Li 2.78, 4 Ir 2.78, 4 Au 2.83-3.03

=====

3.
VASP calculation (PBE) on a relaxed structure of LiIrAu2.

Output
Calculated total energy, eV per cell: -34.6
Calculated volume, A^3/atom: 16.057
ΔH_f (0 K), eV per atom: 0.008
Total magnetization, μB per cell: 0.5

Cell lengths 2.7821, 4.7607, 9.6984 Å; angles 90.00, 90.00, 90.00 degrees
With the nearest neighbours (Å) after each atom.
Space group Imm2 (No. 44)
Inequivalent atoms, fractional coordinates:
Li: 0.0000 0.0000 0.0000 x2  2 Ir 2.74, 6 Au 2.76, 2 Li 2.78
Ir: 0.0000 0.5000 0.2566 x2  2 Li 2.74, 6 Au 2.76-2.79, 2 Ir 2.78
Au: 0.0000 0.0000 0.5075 x2  4 Li 2.76, 4 Au 2.78-2.90, 2 Ir 2.79
Au: 0.0000 0.5000 0.7457 x2  2 Li 2.76, 4 Ir 2.76, 4 Au 2.78-2.90

=====

4.
VASP calculation (PBE) on a relaxed structure of Li6Ir2Au.

Output
Calculated total energy, eV per cell: -34.9
Calculated volume, A^3/atom: 13.857
ΔH_f (0 K), eV per atom: -0.264
Total magnetization, μB per cell: 0.0

Cell lengths 7.4707, 7.4707, 2.5801 Å; angles 90.00, 90.00, 120.00 degrees
With the nearest neighbours (Å) after each atom.
Space group P6/mmm (No. 191)
Inequivalent atoms, fractional coordinates:
Li: 0.0000 0.3397 0.0000 x6  5 Li 2.39-2.58
Ir: 0.3333 0.6667 0.5000 x2  2 Ir 2.58, 12 Li 2.78
Au: 0.0000 0.0000 0.5000 x1  2 Au 2.58, 12 Li 2.85

=====

5.
VASP calculation (PBE) on a relaxed structure of LiIrAu2.

Output
Calculated total energy, eV per cell: -34.2
Calculated volume, A^3/atom: 16.213
ΔH_f (0 K), eV per atom: 0.058
Total magnetization, μB per cell: 0.0

Cell lengths 9.3447, 2.7312, 5.1239 Å; angles 90.00, 97.33, 90.00 degrees
With the nearest neighbours (Å) after each atom.
Space group C2/m (No. 12)
Inequivalent atoms, fractional coordinates:
Li: 0.0000 0.0000 0.0000 x2  2 Li 2.73, 6 Au 2.73-2.92, 4 Ir 2.90
Ir: 0.0000 0.5000 0.5000 x2  2 Ir 2.73, 6 Au 2.81-2.87, 4 Li 2.90
Au: 0.2419 0.0000 0.7511 x4  6 Au 2.73-2.93, 3 Li 2.73-2.92, 3 Ir 2.81-2.87

=====

6.
VASP calculation (PBE) on a relaxed structure of LiIrAu.

Output
Calculated total energy, eV per cell: -56.2
Calculated volume, A^3/atom: 15.362
ΔH_f (0 K), eV per atom: 0.001
Energy relative to the lowest polymorph listed for this composition, meV/atom: 52
Total magnetization, μB per cell: 1.6

Cell lengths 2.8218, 4.6337, 14.0986 Å; angles 90.00, 90.00, 90.00 degrees
With the nearest neighbours (Å) after each atom.
Space group Fmm2 (No. 42)
Inequivalent atoms, fractional coordinates:
Li: 0.0000 0.0000 0.0000 x4  2 Ir 2.58, 2 Au 2.67, 6 Li 2.71-2.82
Ir: 0.0000 0.0000 0.6533 x4  2 Li 2.58, 6 Ir 2.71-2.82
Au: 0.0000 0.0000 0.3394 x4  2 Li 2.67, 6 Au 2.71-2.82, 2 Ir 2.98

=====

7.
VASP calculation (PBE) on a relaxed structure of LiIrAu2.

Output
Calculated total energy, eV per cell: -17.3
Calculated volume, A^3/atom: 15.842
ΔH_f (0 K), eV per atom: 0.016
Total magnetization, μB per cell: 0.5

Cell lengths 2.7668, 2.7668, 8.2781 Å; angles 90.00, 90.00, 90.00 degrees
With the nearest neighbours (Å) after each atom.
Space group P4/mmm (No. 123)
Inequivalent atoms, fractional coordinates:
Li: 0.0000 0.0000 0.0000 x1  4 Li 2.77, 8 Au 2.80
Ir: 0.0000 0.0000 0.5000 x1  4 Ir 2.77, 8 Au 2.90
Au: 0.5000 0.5000 0.2414 x2  4 Au 2.77, 4 Li 2.80, 4 Ir 2.90

=====

8.
VASP calculation (PBE) on a relaxed structure of LiIrAu2.

Output
Calculated total energy, eV per cell: -51.9
Calculated volume, A^3/atom: 15.832
ΔH_f (0 K), eV per atom: 0.011
Total magnetization, μB per cell: 1.2

Cell lengths 2.8023, 2.8023, 27.9372 Å; angles 90.00, 90.00, 120.00 degrees
With the nearest neighbours (Å) after each atom.
Space group R-3m (No. 166, hexagonal axes)
Inequivalent atoms, fractional coordinates:
Li: 0.0000 0.0000 0.0000 x3  6 Au 2.74, 6 Li 2.80
Ir: 0.0000 0.0000 0.5000 x3  6 Ir 2.80, 6 Au 2.93
Au: 0.0000 0.0000 0.2543 x6  3 Li 2.74, 6 Au 2.80, 3 Ir 2.93

=====

9.
VASP calculation (PBE) on a relaxed structure of LiIrAu.

Output
Calculated total energy, eV per cell: -50.9
Calculated volume, A^3/atom: 15.361
ΔH_f (0 K), eV per atom: 0.446
Energy relative to the lowest polymorph listed for this composition, meV/atom: 497
Total magnetization, μB per cell: 0.0

Cell lengths 5.6912, 5.6912, 5.6912 Å; angles 90.00, 90.00, 90.00 degrees
With the nearest neighbours (Å) after each atom.
Space group F-43m (No. 216)
Inequivalent atoms, fractional coordinates:
Li: 0.0000 0.0000 0.0000 x4  4 Ir 2.46, 4 Au 2.46
Ir: 0.2500 0.2500 0.7500 x4  4 Li 2.46
Au: 0.2500 0.2500 0.2500 x4  4 Li 2.46

=====

10.
VASP calculation (PBE) on a relaxed structure of Li4IrAu.

Output
Calculated total energy, eV per cell: -80.6
Calculated volume, A^3/atom: 13.091
ΔH_f (0 K), eV per atom: -0.061
Total magnetization, μB per cell: 0.0

Cell lengths 6.7982, 6.7982, 6.7982 Å; angles 90.00, 90.00, 90.00 degrees
With the nearest neighbours (Å) after each atom.
Space group F-43m (No. 216)
Inequivalent atoms, fractional coordinates:
Li: 0.1236 0.1236 0.3764 x16  6 Li 2.38-2.43
Ir: 0.2500 0.2500 0.7500 x4  12 Li 2.82, 4 Au 2.94
Au: 0.0000 0.0000 0.0000 x4  12 Li 2.82, 4 Ir 2.94

=====

11.
VASP calculation (PBE) on a relaxed structure of LiIrAu.

Output
Calculated total energy, eV per cell: -27.9
Calculated volume, A^3/atom: 15.209
ΔH_f (0 K), eV per atom: 0.034
Energy relative to the lowest polymorph listed for this composition, meV/atom: 84
Total magnetization, μB per cell: 0.0

Cell lengths 2.6890, 2.6890, 12.6206 Å; angles 90.00, 90.00, 90.00 degrees
With the nearest neighbours (Å) after each atom.
Space group I4mm (No. 107)
Inequivalent atoms, fractional coordinates:
Li: 0.0000 0.0000 0.0000 x2  4 Li 2.69, 4 Ir 2.73, 4 Au 2.83
Ir: 0.0000 0.0000 0.6557 x2  4 Ir 2.69, 4 Li 2.73, 4 Au 2.95
Au: 0.0000 0.0000 0.3342 x2  4 Au 2.69, 4 Li 2.83, 4 Ir 2.95

=====

12.
VASP calculation (PBE) on a relaxed structure of LiIrAu2.

Output
Calculated total energy, eV per cell: -34.5
Calculated volume, A^3/atom: 16.162
ΔH_f (0 K), eV per atom: 0.016
Total magnetization, μB per cell: 0.0

Cell lengths 2.8172, 4.7451, 9.6718 Å; angles 90.00, 90.00, 90.00 degrees
With the nearest neighbours (Å) after each atom.
Space group Cmm2 (No. 35)
Inequivalent atoms, fractional coordinates:
Li: 0.0000 0.0000 0.0000 x2  2 Ir 2.56, 2 Au 2.70, 6 Li 2.76-2.82
Ir: 0.0000 0.5000 0.7786 x2  2 Li 2.56, 6 Ir 2.76-2.82
Au: 0.0000 0.0000 0.5176 x2  8 Au 2.76-3.05, 2 Ir 2.89
Au: 0.0000 0.5000 0.2380 x2  2 Li 2.70, 6 Au 2.76-2.82

=====

13.
VASP calculation (PBE) on a relaxed structure of Li2IrAu2.

Output
Calculated total energy, eV per cell: -39.6
Calculated volume, A^3/atom: 14.199
ΔH_f (0 K), eV per atom: -0.108
Energy relative to the lowest polymorph listed for this composition, meV/atom: 0
Total magnetization, μB per cell: 0.0

Cell lengths 6.8453, 6.8453, 3.0303 Å; angles 90.00, 90.00, 90.00 degrees
With the nearest neighbours (Å) after each atom.
Space group P4/mbm (No. 127)
Inequivalent atoms, fractional coordinates:
Li: 0.1210 0.3790 0.0000 x4  1 Li 2.34, 6 Au 2.42-2.61
Ir: 0.0000 0.0000 0.0000 x2  4 Li 2.72, 8 Au 2.93, 2 Ir 3.03
Au: 0.1834 0.6834 0.5000 x4  6 Li 2.42-2.61

=====

14.
VASP calculation (PBE) on a relaxed structure of LiIrAu2.

Output
Calculated total energy, eV per cell: -34.3
Calculated volume, A^3/atom: 16.089
ΔH_f (0 K), eV per atom: 0.048
Total magnetization, μB per cell: 0.0

Cell lengths 2.8120, 4.8079, 9.5199 Å; angles 90.00, 90.00, 90.00 degrees
With the nearest neighbours (Å) after each atom.
Space group Cmmm (No. 65)
Inequivalent atoms, fractional coordinates:
Li: 0.0000 0.0000 0.0000 x2  4 Au 2.64, 6 Li 2.78-2.81
Ir: 0.0000 0.0000 0.5000 x2  6 Ir 2.78-2.81, 4 Au 2.89
Au: 0.0000 0.5000 0.2353 x4  2 Li 2.64, 6 Au 2.78-2.81, 2 Ir 2.89

=====

15.
VASP calculation (PBE) on a relaxed structure of LiIrAu.

Output
Calculated total energy, eV per cell: -27.7
Calculated volume, A^3/atom: 15.381
ΔH_f (0 K), eV per atom: 0.070
Energy relative to the lowest polymorph listed for this composition, meV/atom: 121
Total magnetization, μB per cell: 0.0

Cell lengths 2.6375, 4.1659, 8.3990 Å; angles 90.00, 90.00, 90.00 degrees
With the nearest neighbours (Å) after each atom.
Space group Imm2 (No. 44)
Inequivalent atoms, fractional coordinates:
Li: 0.0000 0.0000 0.0000 x2  2 Li 2.64, 5 Au 2.78-2.84, 5 Ir 2.81-2.84
Ir: 0.0000 0.0000 0.3386 x2  2 Ir 2.64, 5 Au 2.77-2.85, 5 Li 2.81-2.84
Au: 0.0000 0.0000 0.6686 x2  2 Au 2.64, 5 Ir 2.77-2.85, 5 Li 2.78-2.84

=====

16.
VASP calculation (PBE) on a relaxed structure of LiIrAu2.

Output
Calculated total energy, eV per cell: -63.6
Calculated volume, A^3/atom: 17.395
ΔH_f (0 K), eV per atom: 0.360
Total magnetization, μB per cell: 1.9

Cell lengths 3.8772, 3.8772, 18.5144 Å; angles 90.00, 90.00, 90.00 degrees
With the nearest neighbours (Å) after each atom.
Space group I-42d (No. 122)
Inequivalent atoms, fractional coordinates:
Li: 0.0000 0.0000 0.0000 x4  4 Au 2.69, 4 Ir 2.74
Ir: 0.0000 0.0000 0.5000 x4  4 Au 2.69, 4 Li 2.74
Au: 0.2493 0.2500 0.1250 x8  2 Li 2.69, 2 Ir 2.69, 4 Au 2.74-2.75

=====

17.
VASP calculation (PBE) on a relaxed structure of LiIrAu3.

Output
Calculated total energy, eV per cell: -17.5
Calculated volume, A^3/atom: 26.141
ΔH_f (0 K), eV per atom: 0.620
Energy relative to the lowest polymorph listed for this composition, meV/atom: 0
Total magnetization, μB per cell: 0.0

Cell lengths 5.0749, 5.0749, 5.0749 Å; angles 90.00, 90.00, 90.00 degrees
With the nearest neighbours (Å) after each atom.
Space group Pm-3m (No. 221)
Inequivalent atoms, fractional coordinates:
Li: 0.0000 0.0000 0.0000 x1  12 Au 3.59
Ir: 0.5000 0.5000 0.5000 x1  6 Au 2.54
Au: 0.0000 0.5000 0.5000 x3  2 Ir 2.54

=====

18.
VASP calculation (PBE) on a relaxed structure of Li3IrAu.

Output
Calculated total energy, eV per cell: -15.6
Calculated volume, A^3/atom: 19.614
ΔH_f (0 K), eV per atom: 0.461
Energy relative to the lowest polymorph listed for this composition, meV/atom: 0
Total magnetization, μB per cell: 0.0

Cell lengths 4.6115, 4.6115, 4.6115 Å; angles 90.00, 90.00, 90.00 degrees
With the nearest neighbours (Å) after each atom.
Space group Pm-3m (No. 221)
Inequivalent atoms, fractional coordinates:
Li: 0.0000 0.0000 0.5000 x3  2 Ir 2.31
Ir: 0.0000 0.0000 0.0000 x1  6 Li 2.31
Au: 0.5000 0.5000 0.5000 x1  12 Li 3.26

=====

19.
VASP calculation (PBE) on a relaxed structure of LiIrAu2.

Output
Calculated total energy, eV per cell: -17.3
Calculated volume, A^3/atom: 15.990
ΔH_f (0 K), eV per atom: 0.001
Total magnetization, μB per cell: 0.0

Cell lengths 2.7151, 4.1112, 5.7301 Å; angles 90.00, 90.00, 90.00 degrees
With the nearest neighbours (Å) after each atom.
Space group Pmmm (No. 47)
Inequivalent atoms, fractional coordinates:
Li: 0.0000 0.0000 0.0000 x1  2 Li 2.72, 8 Au 2.84, 2 Ir 2.87
Ir: 0.0000 0.0000 0.5000 x1  2 Ir 2.72, 8 Au 2.86, 2 Li 2.87
Au: 0.5000 0.5000 0.2471 x2  4 Au 2.72-2.90, 4 Li 2.84, 4 Ir 2.86

=====

20.
VASP calculation (PBE) on a relaxed structure of LiIrAu2.

Output
Calculated total energy, eV per cell: -17.2
Calculated volume, A^3/atom: 16.196
ΔH_f (0 K), eV per atom: 0.031
Total magnetization, μB per cell: 0.0

Cell lengths 2.7096, 4.2730, 5.5953 Å; angles 90.00, 90.00, 90.00 degrees
With the nearest neighbours (Å) after each atom.
Space group Pmm2 (No. 25)
Inequivalent atoms, fractional coordinates:
Li: 0.0000 0.0000 0.0000 x1  6 Au 2.66-2.93, 2 Li 2.71, 4 Ir 2.90
Ir: 0.5000 0.5000 0.7466 x1  6 Au 2.71-2.89, 2 Ir 2.71, 4 Li 2.90
Au: 0.0000 0.0000 0.5242 x1  2 Li 2.66-2.93, 2 Au 2.71, 4 Ir 2.82
Au: 0.5000 0.5000 0.2306 x1  2 Ir 2.71-2.89, 6 Au 2.71-3.02, 4 Li 2.84